Here is crystalline Ca3CrPb at its relaxed geometry from Alexandria. Energies are from PBE-GGA.

Unit cell a=5.9780 b=5.9780 c=5.9780 alpha=90.00 beta=90.00 gamma=90.00
Element x y z (fractional)
Ca  0.5000  0.0000  0.0000
Ca  0.0000  0.5000  0.0000
Pb  0.0000  0.0000  0.0000
Cr  0.5000  0.5000  0.5000
Ca  0.0000  0.0000  0.5000

Computed properties:
Energy relative to the lowest polymorph listed for this composition (meV/atom): 0
DFT total energy (Ry per atom): -0.254
ΔH_f (0 K) (meV/atom): 414
DOS(E_F) (states/eV/f.u.): 2.84